1.
! GeOsW (GGA-PBE, optimized geometry); values from VASP
&SYSTEM
  ibrav = 0, nat = 3, ntyp = 3
/
ATOMIC_SPECIES
Ge 72.64 Ge.upf
Os 190.23 Os.upf
W 183.84 W.upf
ATOMIC_POSITIONS angstrom
Ge 0.000 0.000 0.000
Os 2.138 1.234 0.000
W 0.000 2.469 1.429
CELL_PARAMETERS angstrom
4.276 0.000 0.000
-2.138 3.703 0.000
0.000 0.000 2.858
! * space-group type: No. 187
! * DFT formation energy: 0.077 eV/atom



2.
! CuSbW2 (GGA-PBE, optimized geometry); values from VASP
&SYSTEM
  ibrav = 0, nat = 4, ntyp = 3
/
ATOMIC_SPECIES
Cu 63.55 Cu.upf
Sb 121.76 Sb.upf
W 183.84 W.upf
ATOMIC_POSITIONS angstrom
Cu 0.000 0.000 0.000
Sb 0.000 0.000 13.238
W 0.000 0.000 6.724
W 0.000 0.000 19.752
CELL_PARAMETERS angstrom
1.484 0.857 8.825
-1.484 0.857 8.825
0.000 -1.713 8.825
! * space-group type: No. 166
! * E: -31.1 eV/cell



3.
! CrNi2Sb (GGA-PBE, optimized geometry); values from VASP
&SYSTEM
  ibrav = 0, nat = 4, ntyp = 3
/
ATOMIC_SPECIES
Cr 52.00 Cr.upf
Ni 58.69 Ni.upf
Sb 121.76 Sb.upf
ATOMIC_POSITIONS angstrom
Cr 0.000 0.000 0.000
Ni 0.000 1.936 1.858
Ni 1.936 0.000 1.858
Sb 1.936 1.936 0.000
CELL_PARAMETERS angstrom
3.872 0.000 0.000
0.000 3.872 0.000
0.000 0.000 3.715
! * space-group type: No. 123
! * E: -25.3 eV/cell



4.
! Mn3FeRh12 (GGA-PBE, optimized geometry); values from VASP
&SYSTEM
  ibrav = 0, nat = 16, ntyp = 3
/
ATOMIC_SPECIES
Mn 54.94 Mn.upf
Fe 55.84 Fe.upf
Rh 102.91 Rh.upf
ATOMIC_POSITIONS angstrom
Mn 0.000 0.000 0.000
Mn 0.000 0.000 3.788
Mn 0.000 0.000 11.409
Fe 0.000 0.000 7.598
Rh 0.000 1.904 1.901
Rh 0.000 1.904 5.705
Rh 0.000 1.904 9.492
Rh 0.000 1.904 13.296
Rh 1.904 0.000 1.901
Rh 1.904 0.000 5.705
Rh 1.904 0.000 9.492
Rh 1.904 0.000 13.296
Rh 1.904 1.904 0.000
Rh 1.904 1.904 3.802
Rh 1.904 1.904 7.598
Rh 1.904 1.904 11.394
CELL_PARAMETERS angstrom
3.808 0.000 0.000
0.000 3.808 0.000
0.000 0.000 15.197
! * space-group type: No. 123
! * DFT formation energy: -0.098 eV/atom



5.
! TaGaSiOsPb (GGA-PBE, optimized geometry); values from VASP
&SYSTEM
  ibrav = 0, nat = 5, ntyp = 5
/
ATOMIC_SPECIES
Ta 180.95 Ta.upf
Ga 69.72 Ga.upf
Si 28.09 Si.upf
Os 190.23 Os.upf
Pb 207.20 Pb.upf
ATOMIC_POSITIONS angstrom
Ta 0.000 0.000 0.000
Ga 2.512 0.000 1.427
Si 5.308 0.000 1.623
Os 10.163 0.000 1.838
Pb 7.699 0.000 3.418
CELL_PARAMETERS angstrom
6.038 -2.048 0.000
6.038 2.048 0.000
-0.745 0.000 4.075
! * space-group type: No. 8
! * energy above the most stable polymorph in this dataset: 224.1 meV per atom



6.
! Pm2ZnPb2 (GGA-PBE, optimized geometry); values from VASP
&SYSTEM
  ibrav = 0, nat = 10, ntyp = 3
/
ATOMIC_SPECIES
Pm 145.00 Pm.upf
Zn 65.41 Zn.upf
Pb 207.20 Pb.upf
ATOMIC_POSITIONS angstrom
Pm 2.373 8.345 3.607
Pm 2.373 5.013 5.786
Pm 2.373 -5.013 2.179
Pm 2.373 -8.345 0.000
Zn 2.373 1.570 4.861
Zn 2.373 -1.570 1.254
Pb 2.373 5.614 1.929
Pb 2.373 1.308 1.921
Pb 2.373 -1.308 5.528
Pb 2.373 -5.614 5.536
CELL_PARAMETERS angstrom
2.373 -8.541 0.000
2.373 8.541 0.000
0.000 0.000 7.214
! * space-group type: No. 36
! * DFT formation energy: -0.413 eV/atom
! * energy above the most stable polymorph in this dataset: 11.3 meV per atom



7.
! ErCrS3 (GGA-PBE, optimized geometry); values from VASP
&SYSTEM
  ibrav = 0, nat = 10, ntyp = 3
/
ATOMIC_SPECIES
Er 167.26 Er.upf
Cr 52.00 Cr.upf
S 32.06 S.upf
ATOMIC_POSITIONS angstrom
Er 0.420 0.899 2.165
Er 5.191 2.698 5.157
Cr 1.531 2.698 6.423
Cr 4.080 0.899 0.899
S -0.141 0.899 6.661
S 0.845 2.698 4.100
S 2.633 2.698 1.334
S 2.977 0.899 5.988
S 4.766 0.899 3.222
S 5.752 2.698 0.662
CELL_PARAMETERS angstrom
6.847 0.000 0.000
0.000 3.598 0.000
-1.237 0.000 7.322
! * space-group type: No. 11
! * E: -65.4 eV/cell



8.
! Nd2YErTe5 (GGA-PBE, optimized geometry); values from VASP
&SYSTEM
  ibrav = 0, nat = 9, ntyp = 4
/
ATOMIC_SPECIES
Nd 144.24 Nd.upf
Y 88.91 Y.upf
Er 167.26 Er.upf
Te 127.60 Te.upf
ATOMIC_POSITIONS angstrom
Nd 0.000 0.000 1.890
Nd 0.000 0.000 9.643
Y 2.756 2.756 5.767
Er 2.756 2.756 0.000
Te 0.000 0.000 5.767
Te 0.000 2.756 0.000
Te 2.756 0.000 0.000
Te 2.756 2.756 2.929
Te 2.756 2.756 8.604
CELL_PARAMETERS angstrom
5.511 0.000 0.000
0.000 5.511 0.000
0.000 0.000 11.533
! * space-group type: No. 123
! * E: -43.7 eV/cell



9.
! SiSb2Se (GGA-PBE, optimized geometry); values from VASP
&SYSTEM
  ibrav = 0, nat = 4, ntyp = 3
/
ATOMIC_SPECIES
Si 28.09 Si.upf
Sb 121.76 Sb.upf
Se 78.96 Se.upf
ATOMIC_POSITIONS angstrom
Si 0.000 0.000 0.000
Sb 3.589 3.589 3.589
Sb 5.384 5.384 5.384
Se 1.795 1.795 1.795
CELL_PARAMETERS angstrom
0.000 3.589 3.589
3.589 0.000 3.589
3.589 3.589 0.000
! * space-group type: No. 216
! * energy above the most stable polymorph in this dataset: 321.7 meV per atom



10.
! Ca2TlInF8 (GGA-PBE, optimized geometry); values from VASP
&SYSTEM
  ibrav = 0, nat = 12, ntyp = 4
/
ATOMIC_SPECIES
Ca 40.08 Ca.upf
Tl 204.38 Tl.upf
In 114.82 In.upf
F 19.00 F.upf
ATOMIC_POSITIONS angstrom
Ca 0.000 1.947 0.000
Ca 0.000 5.851 0.000
Tl 1.770 0.000 2.808
In 1.770 3.899 2.808
F 0.000 3.899 1.520
F -0.346 0.000 4.430
F 1.475 2.338 4.258
F 1.475 5.460 4.258
F 2.065 2.338 1.358
F 2.065 5.460 1.358
F 3.886 0.000 1.186
F 3.540 3.899 4.096
CELL_PARAMETERS angstrom
4.216 0.000 0.000
0.000 7.798 0.000
-0.676 0.000 5.616
! * space-group type: No. 10
! * E: -60.5 eV/cell



11.
! UInRuRh (GGA-PBE, optimized geometry); values from VASP
&SYSTEM
  ibrav = 0, nat = 4, ntyp = 4
/
ATOMIC_SPECIES
U 238.03 U.upf
In 114.82 In.upf
Ru 101.07 Ru.upf
Rh 102.91 Rh.upf
ATOMIC_POSITIONS angstrom
U 0.000 0.000 0.000
In 3.331 3.331 3.331
Ru 4.996 4.996 4.996
Rh 1.665 1.665 1.665
CELL_PARAMETERS angstrom
0.000 3.331 3.331
3.331 0.000 3.331
3.331 3.331 0.000
! * space-group type: No. 216
! * DFT formation energy: -0.316 eV/atom



12.
! PrY2Al2Zn2 (GGA-PBE, optimized geometry); values from VASP
&SYSTEM
  ibrav = 0, nat = 7, ntyp = 4
/
ATOMIC_SPECIES
Pr 140.91 Pr.upf
Y 88.91 Y.upf
Al 26.98 Al.upf
Zn 65.41 Zn.upf
ATOMIC_POSITIONS angstrom
Pr 0.000 0.000 0.000
Y 0.000 0.000 3.625
Y 0.000 0.000 24.546
Al 0.000 0.000 7.305
Al 0.000 0.000 20.866
Zn 0.000 0.000 11.386
Zn 0.000 0.000 16.785
CELL_PARAMETERS angstrom
2.267 1.309 9.390
-2.267 1.309 9.390
0.000 -2.618 9.390
! * space-group type: No. 166
! * DFT formation energy: -0.322 eV/atom



13.
! UAs3Pd5 (GGA-PBE, optimized geometry); values from VASP
&SYSTEM
  ibrav = 0, nat = 18, ntyp = 3
/
ATOMIC_SPECIES
U 238.03 U.upf
As 74.92 As.upf
Pd 106.42 Pd.upf
ATOMIC_POSITIONS angstrom
U 2.061 5.050 8.994
U 2.061 -5.050 2.998
As 2.061 4.993 2.998
As 2.061 1.389 0.928
As 2.061 1.389 5.068
As 2.061 -1.389 6.924
As 2.061 -1.389 11.064
As 2.061 -4.993 8.994
Pd 0.000 0.000 0.000
Pd 0.000 0.000 5.996
Pd 2.061 3.799 0.821
Pd 2.061 3.799 5.175
Pd 2.061 1.098 7.612
Pd 2.061 1.098 10.376
Pd 2.061 -1.098 1.616
Pd 2.061 -1.098 4.380
Pd 2.061 -3.799 6.817
Pd 2.061 -3.799 11.171
CELL_PARAMETERS angstrom
2.061 -6.626 0.000
2.061 6.626 0.000
0.000 0.000 11.992
! * space-group type: No. 63
! * DFT formation energy: -0.368 eV/atom



14.
! CdCu2Mo (GGA-PBE, optimized geometry); values from VASP
&SYSTEM
  ibrav = 0, nat = 4, ntyp = 3
/
ATOMIC_SPECIES
Cd 112.41 Cd.upf
Cu 63.55 Cu.upf
Mo 95.94 Mo.upf
ATOMIC_POSITIONS angstrom
Cd 0.000 0.000 0.000
Cu 0.000 0.000 3.569
Cu 1.398 1.398 2.015
Mo 1.398 1.398 5.366
CELL_PARAMETERS angstrom
2.796 0.000 0.000
0.000 2.796 0.000
0.000 0.000 7.643
! * space-group type: No. 99
! * DFT formation energy: 0.219 eV/atom



15.
! CaAl2Zn8Cu (GGA-PBE, optimized geometry); values from VASP
&SYSTEM
  ibrav = 0, nat = 12, ntyp = 4
/
ATOMIC_SPECIES
Ca 40.08 Ca.upf
Al 26.98 Al.upf
Zn 65.41 Zn.upf
Cu 63.55 Cu.upf
ATOMIC_POSITIONS angstrom
Ca 0.000 0.000 0.000
Al 2.572 0.000 1.706
Al 4.858 0.000 8.367
Zn 2.883 1.292 6.995
Zn 2.384 0.000 4.672
Zn 4.547 1.292 3.078
Zn 2.123 0.000 9.066
Zn 5.307 0.000 1.007
Zn 2.883 -1.292 6.995
Zn 5.047 0.000 5.401
Zn 4.547 -1.292 3.078
Cu -0.323 0.000 5.037
CELL_PARAMETERS angstrom
4.038 -2.546 0.000
4.038 2.546 0.000
-0.647 0.000 10.073
! * space-group type: No. 12
! * DFT formation energy: -0.024 eV/atom



16.
! MnOs4 (GGA-PBE, optimized geometry); values from VASP
&SYSTEM
  ibrav = 0, nat = 5, ntyp = 2
/
ATOMIC_SPECIES
Mn 54.94 Mn.upf
Os 190.23 Os.upf
ATOMIC_POSITIONS angstrom
Mn 0.000 0.000 0.000
Os 1.935 0.000 2.825
Os 0.000 0.000 4.467
Os 0.000 0.000 6.832
Os 0.000 1.935 2.825
CELL_PARAMETERS angstrom
-1.935 1.935 5.650
1.935 -1.935 5.650
1.935 1.935 -5.650
! * space-group type: No. 139
! * DFT formation energy: 0.689 eV/atom
! * energy above the most stable polymorph in this dataset: 583.8 meV per atom



17.
! SrPmSb (GGA-PBE, optimized geometry); values from VASP
&SYSTEM
  ibrav = 0, nat = 3, ntyp = 3
/
ATOMIC_SPECIES
Sr 87.62 Sr.upf
Pm 145.00 Pm.upf
Sb 121.76 Sb.upf
ATOMIC_POSITIONS angstrom
Sr 0.000 0.000 0.000
Pm 3.790 3.790 3.790
Sb 1.895 1.895 1.895
CELL_PARAMETERS angstrom
0.000 3.790 3.790
3.790 0.000 3.790
3.790 3.790 0.000
! * space-group type: No. 216
! * energy above the most stable polymorph in this dataset: 0.0 meV per atom



18.
! Sr2Hg2I (GGA-PBE, optimized geometry); values from VASP
&SYSTEM
  ibrav = 0, nat = 10, ntyp = 3
/
ATOMIC_SPECIES
Sr 87.62 Sr.upf
Hg 200.59 Hg.upf
I 126.90 I.upf
ATOMIC_POSITIONS angstrom
Sr 1.593 2.949 0.000
Sr 2.949 7.491 0.000
Sr 6.134 1.593 0.000
Sr 7.491 6.134 0.000
Hg 1.081 5.622 2.254
Hg 3.461 1.081 2.254
Hg 5.622 8.003 2.254
Hg 8.003 3.461 2.254
I 0.000 0.000 0.000
I 4.542 4.542 0.000
CELL_PARAMETERS angstrom
9.084 0.000 0.000
0.000 9.084 0.000
0.000 0.000 4.509
! * space-group type: No. 127
! * energy above the most stable polymorph in this dataset: 0.0 meV per atom



19.
! Ba3DySn8 (GGA-PBE, optimized geometry); values from VASP
&SYSTEM
  ibrav = 0, nat = 12, ntyp = 3
/
ATOMIC_SPECIES
Ba 137.33 Ba.upf
Dy 162.50 Dy.upf
Sn 118.71 Sn.upf
ATOMIC_POSITIONS angstrom
Ba 0.000 0.000 0.000
Ba 4.821 0.000 2.566
Ba 0.000 4.821 2.566
Dy 0.000 0.000 5.132
Sn 3.340 3.340 -2.179
Sn 2.107 -2.107 4.301
Sn 2.714 2.714 0.830
Sn 1.481 1.481 2.953
Sn 1.481 -1.481 7.311
Sn -2.107 2.107 4.301
Sn 2.107 2.107 5.962
Sn -1.481 1.481 7.311
CELL_PARAMETERS angstrom
-4.821 4.821 5.132
4.821 -4.821 5.132
4.821 4.821 -5.132
! * space-group type: No. 121
! * DFT formation energy: -0.223 eV/atom



20.
! DyTmSc2Bi4 (GGA-PBE, optimized geometry); values from VASP
&SYSTEM
  ibrav = 0, nat = 8, ntyp = 4
/
ATOMIC_SPECIES
Dy 162.50 Dy.upf
Tm 168.93 Tm.upf
Sc 44.96 Sc.upf
Bi 208.98 Bi.upf
ATOMIC_POSITIONS angstrom
Dy 0.000 0.000 0.000
Tm -1.258 2.181 3.562
Sc 2.519 0.000 3.562
Sc 3.777 2.181 0.000
Bi 0.088 0.000 5.362
Bi 1.347 2.181 1.824
Bi 3.691 2.181 5.301
Bi 4.949 0.000 1.763
CELL_PARAMETERS angstrom
7.554 0.000 0.000
0.000 4.362 0.000
-2.517 0.000 7.125
! * space-group type: No. 10
! * DFT formation energy: -0.736 eV/atom